(1)
Computed, not measured: Cu2SbMo after structural relaxation at the GGA-PBE level of DFT.

a = 5.155 Å, b = 5.155 Å, c = 4.810 Å
α = 65.26°, β = 65.26°, γ = 33.37°
Sites, in units of the cell vectors:
1 Cu 0.011 0.011 0.914
2 Cu 0.749 0.749 0.836
3 Mo 0.491 0.491 0.430
4 Sb 0.248 0.248 0.320

Output
raw formation energy = 0.32 eV/atom
total magnetic moment = 0.00 μB/cell

(2)
Computed, not measured: ScFePt3 after structural relaxation at the GGA-PBE level of DFT.

a = 4.604 Å, b = 4.604 Å, c = 4.604 Å
α = 90.00°, β = 90.00°, γ = 90.00°
Site moments in Bohr magnetons follow the coordinates.
Sites, in units of the cell vectors:
1 Sc 0.500 0.500 0.500  -0.05
2 Fe 0.000 0.000 0.000  2.65
3 Pt 0.000 0.500 0.000  0.23
4 Pt 0.000 0.000 0.500  0.36
5 Pt 0.500 0.000 0.000  0.09

Output
energy above the lowest structure with this stoichiometry = 0.000 eV/atom
total magnetic moment = 3.29 μB/cell
formation energy from the elements = 163 meV per atom

(3)
Computed, not measured: Np2VGa6 after structural relaxation at the GGA-PBE level of DFT.

a = 2.770 Å, b = 8.453 Å, c = 8.453 Å
α = 120.00°, β = 90.00°, γ = 90.00°
Site moments in Bohr magnetons follow the coordinates.
Sites, in units of the cell vectors:
1 Np 0.000 0.333 0.667  4.23
2 Np 0.000 0.667 0.333  4.23
3 V 0.500 0.000 0.000  1.72
4 Ga 0.000 0.726 0.000  0.01
5 Ga 0.000 0.000 0.726  0.01
6 Ga 0.000 0.274 0.274  0.01
7 Ga 0.500 0.658 0.658  0.00
8 Ga 0.500 0.000 0.342  0.00
9 Ga 0.500 0.342 0.000  0.00

Output
total magnetic moment = 10.99 μB/cell
formation energy from the elements = 105 meV per atom

(4)
Computed, not measured: HoTlF4 after structural relaxation at the GGA-PBE level of DFT.

a = 3.865 Å, b = 3.865 Å, c = 6.693 Å
α = 90.00°, β = 90.00°, γ = 90.00°
Sites, in units of the cell vectors:
1 Ho 0.500 0.500 0.500
2 Tl 0.000 0.000 0.000
3 F 0.500 0.000 0.688
4 F 0.000 0.500 0.688
5 F 0.500 0.000 0.312
6 F 0.000 0.500 0.312

Output
raw formation energy = -3.34 eV/atom
energy above the lowest structure with this stoichiometry = 0.032 eV/atom
total magnetic moment = 0.00 μB/cell